The following is a PBE with a Hubbard U calculation of a geometry-optimized MnNiO2 structure, from Alexandria. Values from VASP.

Geometry as Quantum ESPRESSO input:
```
&SYSTEM
  ibrav = 0, nat = 16, ntyp = 3
/
ATOMIC_SPECIES
Mn 54.94 Mn.upf
Ni 58.69 Ni.upf
O 16.00 O.upf
CELL_PARAMETERS angstrom
4.7659 0.0000 0.0000
0.0000 4.7659 0.0000
0.0000 0.0000 8.9987
ATOMIC_POSITIONS crystal
Mn 0.0000 0.0000 0.0000
Mn 0.0000 0.5000 0.2500
Mn 0.5000 0.0000 0.7500
Mn 0.5000 0.5000 0.5000
Ni 0.0000 0.0000 0.5000
Ni 0.0000 0.5000 0.7500
Ni 0.5000 0.0000 0.2500
Ni 0.5000 0.5000 0.0000
O 0.2304 0.2500 0.6250
O 0.2500 0.7304 0.8750
O 0.2500 0.7696 0.3750
O 0.2696 0.2500 0.1250
O 0.7304 0.7500 0.1250
O 0.7500 0.2304 0.3750
O 0.7500 0.2696 0.8750
O 0.7696 0.7500 0.6250
```

Output
Crystal system: tetragonal
E above lowest polymorph, kJ/mol of formula units: 184
Total energy, eV per atom: -5.84
Total magnetic moment, μB per formula unit: 5.0